Density functional theory data (GGA-PBE) for crystalline Th2ZnGa3Ni4 at its relaxed geometry.

Output
N(E_F) = 11.156 states/eV per cell
E_form = -0.522 eV per atom

Cell and atoms, written as CIF:
```
data_Th2ZnGa3Ni4
_chemical_formula_sum 'Th2 Zn1 Ga3 Ni4'
_symmetry_space_group_name_H-M 'P -4 m 2'
_symmetry_Int_Tables_number 115
_cell_length_a 4.201
_cell_length_b 4.201
_cell_length_c 9.691
_cell_angle_alpha 90.00
_cell_angle_beta 90.00
_cell_angle_gamma 90.00
loop_
_symmetry_equiv_pos_as_xyz
'x,y,z'
'y,-x,-z'
'-x,-y,z'
'-y,x,-z'
'-x,y,z'
'-y,-x,-z'
'x,-y,z'
'y,x,-z'
loop_
_atom_site_label
_atom_site_type_symbol
_atom_site_fract_x
_atom_site_fract_y
_atom_site_fract_z
Th1 Th 0.000 0.500 0.244
Zn1 Zn 0.000 0.000 0.500
Ga1 Ga 0.000 0.500 0.878
Ga2 Ga 0.500 0.500 0.500
Ni1 Ni 0.000 0.000 0.000
Ni2 Ni 0.000 0.500 0.633
Ni3 Ni 0.500 0.500 0.000
```